Here is a relaxed TbTaS3 crystal from the Alexandria database. Energies are from PBE.

Cell lengths 8.7211, 8.7211, 8.7211 Å; angles 147.63, 47.40, 146.33 degrees
With the nearest neighbours (Å) after each atom.
Positions (direct):
Tb 0.0000 0.0000 0.0000  8 S 2.85-2.96
Tb 0.5000 0.0000 0.5000  8 S 2.85-2.96
Ta 0.3099 0.5599 0.7500  6 S 2.43-2.62
Ta 0.6901 0.4401 0.2500  6 S 2.43-2.62
S 0.0995 0.5064 0.5931  1 Ta 2.52
S 0.2086 0.9586 0.2500  4 Ta 2.43-2.62
S 0.4133 0.5064 0.9069  1 Ta 2.52
S 0.5867 0.4936 0.0931  1 Ta 2.52
S 0.7914 0.0414 0.7500  4 Ta 2.43-2.62
S 0.9005 0.4936 0.4069  1 Ta 2.52

## Properties
**Formation energy from raw total energies**: -1302 meV per atom
**Space-group type**: No. 74
**Total moment**: 0.00 μB per formula unit
**Distance to the lowest polymorph of the same formula**: 161 meV/atom

---

Here is a relaxed YTlCuTe3 crystal from the Alexandria database. Energies are from PBE.

Cell lengths 8.7101, 8.7101, 8.6935 Å; angles 96.14, 96.14, 35.02 degrees
With the nearest neighbours (Å) after each atom.
Positions (direct):
Y 0.1412 0.1412 0.0299  7 Te 3.05-3.39
Y 0.8588 0.8588 0.9701  7 Te 3.05-3.39
Tl 0.1598 0.1598 0.5226  7 Te 3.48-3.89
Tl 0.8402 0.8402 0.4774  7 Te 3.48-3.89
Cu 0.4731 0.4731 0.1916  4 Te 2.59-2.67
Cu 0.5269 0.5269 0.8084  4 Te 2.59-2.67
Te 0.0046 0.0046 0.7636  2 Cu 2.67
Te 0.3157 0.3157 0.1949  1 Cu 2.62
Te 0.3698 0.3698 0.7703  1 Cu 2.59
Te 0.6302 0.6302 0.2297  1 Cu 2.59
Te 0.6843 0.6843 0.8051  1 Cu 2.62
Te 0.9954 0.9954 0.2364  2 Cu 2.67

## Properties
**Formation energy from raw total energies**: -580 meV per atom
**Space-group type**: No. 12
**Total moment**: 0.00 μB per formula unit

---

Here is a relaxed PuInTe4 crystal from the Alexandria database. Energies are from PBE.

Cell lengths 8.6576, 6.2388, 8.6493 Å; angles 90.00, 112.46, 90.00 degrees
With the nearest neighbours (Å) after each atom.
Positions (direct):
Pu 0.0000 0.0000 0.0000  6 Te 3.14-3.15
Pu 0.0000 0.5000 0.5000  6 Te 3.14-3.15
In 0.5000 0.0000 0.5000  6 Te 3.08-3.11
In 0.5000 0.5000 0.0000  6 Te 3.08-3.11
Te 0.2028 0.2071 0.8046  1 Te 2.97, 1 In 3.08, 2 Pu 3.14
Te 0.2028 0.2929 0.3046  1 Te 2.97, 1 In 3.08, 2 Pu 3.14
Te 0.3066 0.7030 0.1988  1 Te 2.97, 2 In 3.09-3.11, 1 Pu 3.15
Te 0.3066 0.7970 0.6988  1 Te 2.97, 2 In 3.09-3.11, 1 Pu 3.15
Te 0.6934 0.2030 0.3012  1 Te 2.97, 2 In 3.09-3.11, 1 Pu 3.15
Te 0.6934 0.2970 0.8012  1 Te 2.97, 2 In 3.09-3.11, 1 Pu 3.15
Te 0.7972 0.7071 0.6954  1 Te 2.97, 1 In 3.08, 2 Pu 3.14
Te 0.7972 0.7929 0.1954  1 Te 2.97, 1 In 3.08, 2 Pu 3.14

## Properties
**Formation energy from raw total energies**: -348 meV per atom
**Space-group type**: No. 14
**Total moment**: 5.89 μB per formula unit

---

Here is a relaxed Tb3HoIn4 crystal from the Alexandria database. Energies are from PBE.

Cell lengths 10.3857, 10.3857, 10.3857 Å; angles 160.81, 141.30, 43.54 degrees
With the nearest neighbours (Å) after each atom.
Positions (direct):
Tb 0.0000 0.0000 0.0000  8 In 3.35, 2 Tb 3.46
Tb 0.2755 0.7755 0.5000  6 In 3.21-3.25, 2 Tb 3.46
Tb 0.7245 0.2245 0.5000  6 In 3.21-3.25, 2 Tb 3.46
Ho 0.5000 0.5000 0.0000  4 In 3.10, 2 Ho 3.46
In 0.0940 0.3738 0.7201  1 In 3.03, 1 Ho 3.10, 5 Tb 3.21-3.35
In 0.3463 0.6262 0.7201  1 In 3.03, 1 Ho 3.10, 5 Tb 3.21-3.35
In 0.6537 0.3738 0.2799  1 In 3.03, 1 Ho 3.10, 5 Tb 3.21-3.35
In 0.9060 0.6262 0.2799  1 In 3.03, 1 Ho 3.10, 5 Tb 3.21-3.35

## Properties
**Space-group type**: No. 71
**Total moment**: 0.00 μB per formula unit
**Distance to the lowest polymorph of the same formula**: 161 meV/atom

---

Here is a relaxed PmThSc crystal from the Alexandria database. Energies are from PBE.

Cell lengths 3.5280, 3.5280, 8.4455 Å; angles 90.00, 90.00, 120.00 degrees
With the nearest neighbours (Å) after each atom.
Positions (direct):
Pm 0.0000 0.0000 0.0000  3 Sc 3.51, 6 Pm 3.53, 3 Th 3.57
Th 0.3333 0.6667 0.6533  3 Sc 3.35, 6 Th 3.53, 3 Pm 3.57
Sc 0.6667 0.3333 0.3389  3 Th 3.35, 3 Pm 3.51, 6 Sc 3.53

## Properties
**Space-group type**: No. 156
**Total moment**: 0.00 μB per formula unit
**Distance to the lowest polymorph of the same formula**: 7 meV/atom

---

Here is a relaxed LaCoPb2 crystal from the Alexandria database. Energies are from PBE.

Cell lengths 4.5553, 4.5553, 6.2503 Å; angles 111.29, 111.29, 59.84 degrees
With the nearest neighbours (Å) after each atom.
Positions (direct):
La 0.0000 0.0000 0.0000  6 Pb 3.25
Co 0.5000 0.5000 0.5000  6 Pb 2.79
Pb 0.2211 0.2211 0.6638  3 Co 2.79
Pb 0.7789 0.7789 0.3362  3 Co 2.79

## Properties
**Space-group type**: No. 12
**Total moment**: 0.58 μB per formula unit
**Distance to the lowest polymorph of the same formula**: 72 meV/atom

---

Here is a relaxed Cs2AcUSe6 crystal from the Alexandria database. Energies are from PBE.

Cell lengths 8.1051, 11.4624, 8.1062 Å; angles 90.00, 90.00, 90.00 degrees
With the nearest neighbours (Å) after each atom.
Positions (direct):
Cs 0.2500 0.9999 0.2498  12 Se 4.05-4.06
Cs 0.2500 0.5001 0.2498  12 Se 4.05-4.06
Cs 0.7500 0.0001 0.7502  12 Se 4.05-4.06
Cs 0.7500 0.4999 0.7502  12 Se 4.05-4.06
Ac 0.2500 0.2500 0.7497  6 Se 3.05
Ac 0.7500 0.7500 0.2503  6 Se 3.05
U 0.2500 0.7500 0.7503  6 Se 2.68
U 0.7500 0.2500 0.2497  6 Se 2.68
Se 0.0161 0.7500 0.5164  1 U 2.68
Se 0.0162 0.7500 0.9842  1 U 2.68
Se 0.2500 0.5161 0.7504  1 U 2.68
Se 0.2500 0.9839 0.7504  1 U 2.68
Se 0.4839 0.7500 0.5164  1 U 2.68
Se 0.4838 0.7500 0.9842  1 U 2.68
Se 0.5162 0.2500 0.0158  1 U 2.68
Se 0.5161 0.2500 0.4836  1 U 2.68
Se 0.7500 0.0161 0.2496  1 U 2.68
Se 0.7500 0.4839 0.2496  1 U 2.68
Se 0.9838 0.2500 0.0158  1 U 2.68
Se 0.9839 0.2500 0.4836  1 U 2.68

## Properties
**Formation energy from raw total energies**: -1274 meV per atom
**Space-group type**: No. 59
**Total moment**: 0.00 μB per formula unit

---

Here is a relaxed CaNb2H crystal from the Alexandria database. Energies are from PBE.

Cell lengths 6.0869, 6.0869, 6.0869 Å; angles 145.89, 145.89, 49.01 degrees
With the nearest neighbours (Å) after each atom.
Positions (direct):
Ca 0.0000 0.0000 0.0000  4 H 2.52
Nb 0.2963 0.2963 0.0000  1 H 2.26
Nb 0.7037 0.7037 0.0000  1 H 2.26
H 0.5000 0.5000 0.0000  2 Nb 2.26, 4 Ca 2.52

## Properties
**Space-group type**: No. 139
**Total moment**: 0.00 μB per formula unit
**Distance to the lowest polymorph of the same formula**: 0 meV/atom

---

Here is a relaxed Ba2GaMoCl crystal from the Alexandria database. Energies are from PBE.

Cell lengths 5.9119, 5.9119, 4.8780 Å; angles 90.00, 90.00, 90.00 degrees
With the nearest neighbours (Å) after each atom.
Positions (direct):
Ba 0.0000 0.5000 0.0000  2 Mo 2.96
Ba 0.5000 0.0000 0.0000  2 Mo 2.96
Ga 0.0000 0.0000 0.5000  2 Mo 2.44
Mo 0.0000 0.0000 0.0000  2 Ga 2.44
Cl 0.5000 0.5000 0.5000  8 Ba 3.83, 4 Ga 4.18

## Properties
**Formation energy from raw total energies**: -175 meV per atom
**Space-group type**: No. 123
**Total moment**: 0.00 μB per formula unit

---

Here is a relaxed La3Mg2Co2 crystal from the Alexandria database. Energies are from PBE.

Cell lengths 3.8471, 5.7140, 8.7492 Å; angles 108.55, 93.09, 95.58 degrees
With the nearest neighbours (Å) after each atom.
Positions (direct):
La 0.0000 0.0000 0.0000  2 Co 2.73
La 0.0764 0.3810 0.7063  1 Co 2.54
La 0.9236 0.6190 0.2937  1 Co 2.54
Mg 0.4821 0.1160 0.3509  1 Co 3.11, 4 La 3.27-3.38, 1 Mg 3.28
Mg 0.5179 0.8840 0.6491  1 Co 3.11, 4 La 3.27-3.38, 1 Mg 3.28
Co 0.2955 0.6221 0.0633  2 Co 2.30-2.54, 1 La 2.54
Co 0.7045 0.3779 0.9367  2 Co 2.30-2.54, 1 La 2.54

## Properties
**Space-group type**: No. 2
**E**: -32.63 eV for the cell shown
**Total moment**: 0.00 μB per formula unit

---

Here is a relaxed CaP2NCl crystal from the Alexandria database. Energies are from PBE.

Cell lengths 5.6587, 5.6587, 5.3422 Å; angles 90.00, 90.00, 90.00 degrees
With the nearest neighbours (Å) after each atom.
Positions (direct):
Ca 0.0000 0.0000 0.0000  2 Cl 2.67, 4 P 2.83
P 0.0000 0.5000 0.0000  2 Ca 2.83
P 0.5000 0.0000 0.0000  2 Ca 2.83
N 0.5000 0.5000 0.5000  8 P 3.89, 4 Cl 4.00
Cl 0.0000 0.0000 0.5000  2 Ca 2.67

## Properties
**Formation energy from raw total energies**: 1409 meV per atom
**Space-group type**: No. 123
**Total moment**: 5.99 μB per formula unit
**Distance to the lowest polymorph of the same formula**: 1461 meV/atom

---

Here is a relaxed Rb5HoTe4 crystal from the Alexandria database. Energies are from PBE.

Cell lengths 11.1952, 11.1952, 9.3035 Å; angles 114.46, 114.46, 26.09 degrees
With the nearest neighbours (Å) after each atom.
Positions (direct):
Rb 0.0000 0.0000 0.0000  4 Te 3.65
Rb 0.3270 0.3270 0.0679  3 Te 3.44-3.49
Rb 0.3266 0.3266 0.5821  3 Te 3.44-3.48
Rb 0.6734 0.6734 0.4179  3 Te 3.44-3.48
Rb 0.6730 0.6730 0.9321  3 Te 3.44-3.49
Ho 0.0000 0.0000 0.5000  6 Te 3.24-3.26
Te 0.1651 0.1651 0.6665  1 Ho 3.26, 4 Rb 3.48-3.49
Te 0.5003 0.5003 0.2828  2 Ho 3.24, 2 Rb 3.44
Te 0.4997 0.4997 0.7172  2 Ho 3.24, 2 Rb 3.44
Te 0.8349 0.8349 0.3335  1 Ho 3.26, 4 Rb 3.48-3.49

## Properties
**Formation energy from raw total energies**: -1001 meV per atom
**Space-group type**: No. 12
**Total moment**: 0.00 μB per formula unit